ErCrGeO5: relaxed, GGA+U.

a b c (Å): 7.3831 8.4679 5.7864
angles (deg): 90.00 90.00 90.00
Space group Pbam (No. 55)
Asymmetric unit:
Er (0.1446, 0.1737, 0.0000) [4 per cell]
Cr (0.0000, 0.5000, 0.2498) [4 per cell]
Ge (0.1150, 0.8551, 0.5000) [4 per cell]
O (0.0000, 0.0000, 0.2862) [4 per cell]
O (0.1092, 0.7178, 0.2482) [8 per cell]
O (0.1589, 0.4210, 0.5000) [4 per cell]
O (0.1714, 0.4427, 0.0000) [4 per cell]

Output
density of states at the Fermi level = 0.0000 states/eV per atom
magnetic moment = 3.000 μB per formula unit
raw total energy = -243.00 eV for the cell shown